[1]
# Co2CuRe

Co2CuRe at its PBEsol-relaxed geometry (meta-GGA SCAN, the Alexandria database).

## Properties
Polymorph energy (0 for the lowest one) (eV per atom): 0.1455

a = 3.4803 Å, b = 3.4803 Å, c = 7.4906 Å
α = 90.00°, β = 90.00°, γ = 90.00°
Closest atoms and distances in Å follow each position.
Space group I-4m2 (No. 119)
Inequivalent atoms, fractional coordinates:
Co 0.0000 0.0000 0.0000 [2 per cell]  4 Re 2.46, 4 Co 2.56, 4 Cu 2.56
Co 0.0000 0.5000 0.2500 [2 per cell]  4 Cu 2.46, 4 Co 2.56, 4 Re 2.56
Cu 0.0000 0.5000 0.7500 [2 per cell]  8 Co 2.46-2.56, 4 Re 2.56
Re 0.0000 0.0000 0.5000 [2 per cell]  8 Co 2.46-2.56, 4 Cu 2.56


[2]
# Co2CuRe

Co2CuRe at its PBEsol-relaxed geometry (meta-GGA SCAN, the Alexandria database).

## Properties
Polymorph energy (0 for the lowest one) (eV per atom): 0.0692

a = 2.5892 Å, b = 3.4747 Å, c = 5.0927 Å
α = 90.00°, β = 90.00°, γ = 90.00°
Closest atoms and distances in Å follow each position.
Space group Pmmm (No. 47)
Inequivalent atoms, fractional coordinates:
Co 0.0000 0.0000 0.2486 [2 per cell]  4 Cu 2.51, 4 Re 2.52, 4 Co 2.53-2.59
Cu 0.5000 0.5000 0.0000 [1 per cell]  8 Co 2.51, 2 Re 2.55, 2 Cu 2.59
Re 0.5000 0.5000 0.5000 [1 per cell]  8 Co 2.52, 2 Cu 2.55, 2 Re 2.59


[3]
# Co2CuRe

Co2CuRe at its PBEsol-relaxed geometry (meta-GGA SCAN, the Alexandria database).

## Properties
Polymorph energy (0 for the lowest one) (eV per atom): 0.0000

a = 2.9208 Å, b = 2.9208 Å, c = 5.4358 Å
α = 90.00°, β = 90.00°, γ = 90.00°
Closest atoms and distances in Å follow each position.
Space group P4/mmm (No. 123)
Inequivalent atoms, fractional coordinates:
Co 0.0000 0.0000 0.2400 [2 per cell]  4 Cu 2.44, 4 Re 2.50, 1 Co 2.61
Cu 0.5000 0.5000 0.0000 [1 per cell]  8 Co 2.44, 2 Re 2.72
Re 0.5000 0.5000 0.5000 [1 per cell]  8 Co 2.50, 2 Cu 2.72


[4]
# Y2CoCuRe

Y2CoCuRe at its PBEsol-relaxed geometry (meta-GGA SCAN, the Alexandria database).

a = 5.2941 Å, b = 5.2941 Å, c = 4.2953 Å
α = 90.00°, β = 90.00°, γ = 90.00°
Closest atoms and distances in Å follow each position.
Space group P4/mmm (No. 123)
Inequivalent atoms, fractional coordinates:
Y 0.0000 0.5000 0.0000 [2 per cell]  2 Re 2.65
Co 0.0000 0.0000 0.5000 [1 per cell]  2 Re 2.15
Cu 0.5000 0.5000 0.5000 [1 per cell]  8 Y 3.41, 4 Co 3.74
Re 0.0000 0.0000 0.0000 [1 per cell]  2 Co 2.15


[5]
# CoCu2Rh

CoCu2Rh at its PBEsol-relaxed geometry (meta-GGA SCAN, the Alexandria database).

a = 3.6407 Å, b = 3.6407 Å, c = 7.1018 Å
α = 90.00°, β = 90.00°, γ = 90.00°
Closest atoms and distances in Å follow each position.
Space group I-4m2 (No. 119)
Inequivalent atoms, fractional coordinates:
Co 0.0000 0.0000 0.0000 [2 per cell]  4 Rh 2.54, 8 Cu 2.54-2.57
Cu 0.0000 0.0000 0.5000 [2 per cell]  4 Cu 2.54, 4 Rh 2.54, 4 Co 2.57
Cu 0.0000 0.5000 0.2500 [2 per cell]  4 Cu 2.54, 4 Co 2.54, 4 Rh 2.57
Rh 0.0000 0.5000 0.7500 [2 per cell]  4 Co 2.54, 8 Cu 2.54-2.57


[6]
# Co2CuRh

Co2CuRh at its PBEsol-relaxed geometry (meta-GGA SCAN, the Alexandria database).

a = 2.5581 Å, b = 2.5581 Å, c = 24.6163 Å
α = 90.00°, β = 90.00°, γ = 120.00°
Closest atoms and distances in Å follow each position.
Space group R3m (No. 160, hexagonal axes)
Inequivalent atoms, fractional coordinates:
Co 0.0000 0.0000 0.0000 [3 per cell]  9 Co 2.40-2.56, 3 Rh 2.57
Co 0.0000 0.0000 0.2564 [3 per cell]  9 Co 2.40-2.56, 3 Cu 2.52
Cu 0.0000 0.0000 0.5070 [3 per cell]  3 Co 2.52, 6 Cu 2.56, 3 Rh 2.63
Rh 0.0000 0.0000 0.7519 [3 per cell]  6 Rh 2.56, 3 Co 2.57, 3 Cu 2.63


[7]
# CoCu2Rh

CoCu2Rh at its PBEsol-relaxed geometry (meta-GGA SCAN, the Alexandria database).

a = 2.6000 Å, b = 2.6000 Å, c = 6.9399 Å
α = 90.00°, β = 90.00°, γ = 90.00°
Closest atoms and distances in Å follow each position.
Space group P4mm (No. 99)
Inequivalent atoms, fractional coordinates:
Co 0.0000 0.0000 0.0000 [1 per cell]  4 Cu 2.49, 4 Rh 2.50, 4 Co 2.60
Cu 0.0000 0.0000 0.4861 [1 per cell]  8 Cu 2.50-2.60, 4 Rh 2.62
Cu 0.5000 0.5000 0.2430 [1 per cell]  4 Co 2.49, 8 Cu 2.50-2.60
Rh 0.5000 0.5000 0.7559 [1 per cell]  4 Co 2.50, 4 Rh 2.60, 4 Cu 2.62


[8]
# Co2CuRh

Co2CuRh at its PBEsol-relaxed geometry (meta-GGA SCAN, the Alexandria database).

a = 3.5763 Å, b = 3.5763 Å, c = 3.6377 Å
α = 90.00°, β = 90.00°, γ = 90.00°
Closest atoms and distances in Å follow each position.
Space group P4/mmm (No. 123)
Inequivalent atoms, fractional coordinates:
Co 0.0000 0.5000 0.0000 [2 per cell]  4 Co 2.53, 4 Cu 2.55, 4 Rh 2.55
Cu 0.0000 0.0000 0.5000 [1 per cell]  4 Rh 2.53, 8 Co 2.55
Rh 0.5000 0.5000 0.5000 [1 per cell]  4 Cu 2.53, 8 Co 2.55


Which VASP energy belongs to each record? In order, -29.889; -29.965; -30.035; -31.170; -20.315; -20.809; -20.297; -20.877 eV/atom.